# 1
VASP calculation (PBE) on an optimized crystal structure of Sm5Si2.

a b c (Å): 8.5356 8.5356 7.9609
angles (deg): 97.15 97.15 44.21
Element x y z (fractional)
Sm 0.1111 0.8889 0.7500
Sm 0.1304 0.3139 0.3137
Sm 0.2839 0.5313 0.0761
Sm 0.3139 0.1304 0.8137
Sm 0.4687 0.7161 0.4239
Sm 0.5313 0.2839 0.5761
Sm 0.6861 0.8696 0.1863
Sm 0.7161 0.4687 0.9239
Sm 0.8696 0.6861 0.6863
Sm 0.8889 0.1111 0.2500
Si 0.0883 0.7016 0.4173
Si 0.2984 0.9117 0.0827
Si 0.7016 0.0883 0.9173
Si 0.9117 0.2984 0.5827

Results
formation energy from raw total energies: -42 kJ per mole of atoms
raw total energy: -74.9 eV for the cell shown

# 2
VASP calculation (PBE) on an optimized crystal structure of GaOs3S.

a b c (Å): 4.5418 4.5418 4.5418
angles (deg): 90.00 90.00 90.00
Element x y z (fractional)
Ga 0.0000 0.0000 0.0000
Os 0.0000 0.0000 0.5000
Os 0.0000 0.5000 0.0000
Os 0.5000 0.0000 0.0000
S 0.5000 0.5000 0.5000

Results
formation energy from raw total energies: 230 kJ per mole of atoms
raw total energy: -28.9 eV for the cell shown
energy above the lowest structure with this stoichiometry: 1231 meV per atom

# 3
VASP calculation (PBE) on an optimized crystal structure of Hf2MgZn.

a b c (Å): 7.7771 7.7771 5.6173
angles (deg): 90.00 90.00 90.00
Element x y z (fractional)
Hf 0.2190 0.7500 0.1250
Hf 0.2500 0.2190 0.8750
Hf 0.2500 0.2810 0.3750
Hf 0.2810 0.7500 0.6250
Hf 0.7190 0.2500 0.6250
Hf 0.7500 0.7190 0.3750
Hf 0.7500 0.7810 0.8750
Hf 0.7810 0.2500 0.1250
Mg 0.0000 0.0000 0.5000
Mg 0.0000 0.5000 0.7500
Mg 0.5000 0.0000 0.2500
Mg 0.5000 0.5000 0.0000
Zn 0.0000 0.0000 0.0000
Zn 0.0000 0.5000 0.2500
Zn 0.5000 0.0000 0.7500
Zn 0.5000 0.5000 0.5000

Results
energy of formation: 38.9 kJ/mol of atoms
raw total energy: -84.6 eV for the cell shown
energy above the lowest structure with this stoichiometry: 383 meV per atom

# 4
VASP calculation (PBE) on an optimized crystal structure of MnCrAs2.

a b c (Å): 3.6342 3.6342 18.1156
angles (deg): 90.00 90.00 120.00
Element x y z (fractional)
Mn 0.0000 0.0000 0.0000
Mn 0.3333 0.6667 0.6667
Mn 0.6667 0.3333 0.3333
Cr 0.0000 0.0000 0.5000
Cr 0.3333 0.6667 0.1667
Cr 0.6667 0.3333 0.8333
As 0.0000 0.0000 0.2499
As 0.0000 0.0000 0.7501
As 0.3333 0.6667 0.4168
As 0.3333 0.6667 0.9165
As 0.6667 0.3333 0.0835
As 0.6667 0.3333 0.5832

Results
energy of formation: -5.6 kJ/mol of atoms
raw total energy: -85.0 eV for the cell shown
energy above the lowest structure with this stoichiometry: 37 meV per atom

# 5
VASP calculation (PBE) on an optimized crystal structure of Pm3Sm2.

a b c (Å): 3.6410 3.6410 44.5273
angles (deg): 90.00 90.00 120.00
Element x y z (fractional)
Pm 0.0000 0.0000 0.0000
Pm 0.0000 0.0000 0.4003
Pm 0.0000 0.0000 0.5997
Pm 0.3333 0.6667 0.0669
Pm 0.3333 0.6667 0.2664
Pm 0.3333 0.6667 0.6667
Pm 0.6667 0.3333 0.3333
Pm 0.6667 0.3333 0.7336
Pm 0.6667 0.3333 0.9331
Sm 0.0000 0.0000 0.1998
Sm 0.0000 0.0000 0.8002
Sm 0.3333 0.6667 0.4669
Sm 0.3333 0.6667 0.8665
Sm 0.6667 0.3333 0.1335
Sm 0.6667 0.3333 0.5331

Results
energy of formation: 1.0 kJ/mol of atoms
raw total energy: -70.9 eV for the cell shown

# 6
VASP calculation (PBE) on an optimized crystal structure of NaCdPt2F.

a b c (Å): 4.6316 4.6316 4.0481
angles (deg): 90.00 90.00 90.00
Element x y z (fractional)
Na 0.0000 0.0000 0.0000
Cd 0.5000 0.5000 0.0000
Pt 0.0000 0.5000 0.5000
Pt 0.5000 0.0000 0.5000
F 0.0000 0.0000 0.5000

Results
formation energy from raw total energies: -17 kJ per mole of atoms
raw total energy: -17.1 eV for the cell shown

# 7
VASP calculation (PBE) on an optimized crystal structure of YMgAg2.

a b c (Å): 6.9805 6.9805 6.9805
angles (deg): 90.00 90.00 90.00
Element x y z (fractional)
Y 0.0000 0.0000 0.0000
Y 0.0000 0.5000 0.5000
Y 0.5000 0.0000 0.5000
Y 0.5000 0.5000 0.0000
Mg 0.2500 0.2500 0.7500
Mg 0.2500 0.7500 0.2500
Mg 0.7500 0.2500 0.2500
Mg 0.7500 0.7500 0.7500
Ag 0.0000 0.0000 0.5000
Ag 0.0000 0.5000 0.0000
Ag 0.2500 0.2500 0.2500
Ag 0.2500 0.7500 0.7500
Ag 0.5000 0.0000 0.0000
Ag 0.5000 0.5000 0.5000
Ag 0.7500 0.2500 0.7500
Ag 0.7500 0.7500 0.2500

Results
energy of formation: -12.8 kJ/mol of atoms
raw total energy: -57.2 eV for the cell shown

# 8
VASP calculation (PBE) on an optimized crystal structure of YCd3Pb.

a b c (Å): 5.5382 5.5382 5.5382
angles (deg): 90.00 90.00 90.00
Element x y z (fractional)
Y 0.0000 0.0000 0.0000
Cd 0.0000 0.5000 0.5000
Cd 0.5000 0.0000 0.5000
Cd 0.5000 0.5000 0.0000
Pb 0.5000 0.5000 0.5000

Results
energy of formation: 49.4 kJ/mol of atoms
raw total energy: -10.4 eV for the cell shown
energy above the lowest structure with this stoichiometry: 0 meV per atom

# 9
VASP calculation (PBE) on an optimized crystal structure of Ca2BeSb.

a b c (Å): 7.4128 7.4128 7.4128
angles (deg): 90.00 90.00 90.00
Element x y z (fractional)
Ca 0.2500 0.2500 0.2500
Ca 0.2500 0.2500 0.7500
Ca 0.2500 0.7500 0.2500
Ca 0.2500 0.7500 0.7500
Ca 0.7500 0.2500 0.2500
Ca 0.7500 0.2500 0.7500
Ca 0.7500 0.7500 0.2500
Ca 0.7500 0.7500 0.7500
Be 0.0000 0.0000 0.0000
Be 0.0000 0.5000 0.5000
Be 0.5000 0.0000 0.5000
Be 0.5000 0.5000 0.0000
Sb 0.0000 0.0000 0.5000
Sb 0.0000 0.5000 0.0000
Sb 0.5000 0.0000 0.0000
Sb 0.5000 0.5000 0.5000

Results
formation energy from raw total energies: -19 kJ per mole of atoms
raw total energy: -50.5 eV for the cell shown
energy above the lowest structure with this stoichiometry: 222 meV per atom

# 10
VASP calculation (PBE) on an optimized crystal structure of AgPtW2.

a b c (Å): 5.4746 8.5768 2.7269
angles (deg): 90.00 90.00 90.00
Element x y z (fractional)
Ag 0.0000 0.0000 0.0000
Ag 0.5000 0.5000 0.0000
Pt 0.0000 0.5000 0.0000
Pt 0.5000 0.0000 0.0000
W 0.2500 0.2500 0.5000
W 0.2500 0.7500 0.5000
W 0.7500 0.2500 0.5000
W 0.7500 0.7500 0.5000

Results
energy of formation: 28.7 kJ/mol of atoms
raw total energy: -67.2 eV for the cell shown
energy above the lowest structure with this stoichiometry: 161 meV per atom

# 11
VASP calculation (PBE) on an optimized crystal structure of V3CoH.

a b c (Å): 4.3103 4.3103 4.3103
angles (deg): 90.00 90.00 90.00
Element x y z (fractional)
V 0.0000 0.0000 0.5000
V 0.0000 0.5000 0.0000
V 0.5000 0.0000 0.0000
Co 0.0000 0.0000 0.0000
H 0.5000 0.5000 0.5000

Results
raw total energy: -30.8 eV for the cell shown
energy above the lowest structure with this stoichiometry: 1414 meV per atom

# 12
VASP calculation (PBE) on an optimized crystal structure of Tb8Ru3Au2.

a b c (Å): 8.5591 4.8813 8.5760
angles (deg): 90.00 110.29 90.00
Element x y z (fractional)
Tb 0.1157 0.0000 0.3842
Tb 0.1362 0.5000 0.8690
Tb 0.3695 0.5000 0.6363
Tb 0.3812 0.0000 0.1182
Tb 0.6188 0.0000 0.8818
Tb 0.6305 0.5000 0.3637
Tb 0.8638 0.5000 0.1310
Tb 0.8843 0.0000 0.6158
Ru 0.2510 0.0000 0.7506
Ru 0.5000 0.5000 0.0000
Ru 0.7490 0.0000 0.2494
Au 0.2466 0.5000 0.2527
Au 0.7534 0.5000 0.7473

Results
energy of formation: -42.6 kJ/mol of atoms
raw total energy: -77.2 eV for the cell shown

# 13
VASP calculation (PBE) on an optimized crystal structure of Pr3ZrS6.

a b c (Å): 8.0808 8.0808 8.0808
angles (deg): 98.14 98.14 98.14
Element x y z (fractional)
Pr 0.1253 0.7940 0.6152
Pr 0.2060 0.3848 0.8747
Pr 0.3848 0.8747 0.2060
Pr 0.6152 0.1253 0.7940
Pr 0.7940 0.6152 0.1253
Pr 0.8747 0.2060 0.3848
Zr 0.0000 0.0000 0.0000
Zr 0.5000 0.5000 0.5000
S 0.0685 0.6936 0.9291
S 0.0709 0.9315 0.3064
S 0.1858 0.4346 0.5328
S 0.3064 0.0709 0.9315
S 0.4346 0.5328 0.1858
S 0.4672 0.8142 0.5654
S 0.5328 0.1858 0.4346
S 0.5654 0.4672 0.8142
S 0.6937 0.9291 0.0685
S 0.8142 0.5654 0.4672
S 0.9291 0.0685 0.6936
S 0.9315 0.3064 0.0709

Results
formation energy from raw total energies: -183 kJ per mole of atoms
raw total energy: -133.1 eV for the cell shown

# 14
VASP calculation (PBE) on an optimized crystal structure of BaLaMgAl.

a b c (Å): 8.0657 8.0657 8.0657
angles (deg): 90.00 90.00 90.00
Element x y z (fractional)
Ba 0.0000 0.0000 0.0000
Ba 0.0000 0.5000 0.5000
Ba 0.5000 0.0000 0.5000
Ba 0.5000 0.5000 0.0000
La 0.0000 0.0000 0.5000
La 0.0000 0.5000 0.0000
La 0.5000 0.0000 0.0000
La 0.5000 0.5000 0.5000
Mg 0.2500 0.2500 0.2500
Mg 0.2500 0.7500 0.7500
Mg 0.7500 0.2500 0.7500
Mg 0.7500 0.7500 0.2500
Al 0.2500 0.2500 0.7500
Al 0.2500 0.7500 0.2500
Al 0.7500 0.2500 0.2500
Al 0.7500 0.7500 0.7500

Results
energy of formation: -6.5 kJ/mol of atoms
raw total energy: -49.8 eV for the cell shown

# 15
VASP calculation (PBE) on an optimized crystal structure of AcPr4Ho15.

a b c (Å): 5.0864 5.0864 25.2450
angles (deg): 90.00 90.00 90.00
Element x y z (fractional)
Ac 0.0000 0.0000 0.0000
Pr 0.0000 0.0000 0.2017
Pr 0.0000 0.0000 0.4008
Pr 0.0000 0.0000 0.5992
Pr 0.0000 0.0000 0.7983
Ho 0.0000 0.5000 0.1035
Ho 0.0000 0.5000 0.3016
Ho 0.0000 0.5000 0.5000
Ho 0.0000 0.5000 0.6984
Ho 0.0000 0.5000 0.8965
Ho 0.5000 0.0000 0.1035
Ho 0.5000 0.0000 0.3016
Ho 0.5000 0.0000 0.5000
Ho 0.5000 0.0000 0.6984
Ho 0.5000 0.0000 0.8965
Ho 0.5000 0.5000 0.0000
Ho 0.5000 0.5000 0.2023
Ho 0.5000 0.5000 0.4008
Ho 0.5000 0.5000 0.5992
Ho 0.5000 0.5000 0.7977

Results
energy of formation: 3.0 kJ/mol of atoms
raw total energy: -91.3 eV for the cell shown

# 16
VASP calculation (PBE) on an optimized crystal structure of VBiS2.

a b c (Å): 4.0601 4.0601 23.4296
angles (deg): 90.00 90.00 120.00
Element x y z (fractional)
V 0.0000 0.0000 0.0000
V 0.3333 0.6667 0.6667
V 0.6667 0.3333 0.3333
Bi 0.0000 0.0000 0.5000
Bi 0.3333 0.6667 0.1667
Bi 0.6667 0.3333 0.8333
S 0.0000 0.0000 0.0993
S 0.0000 0.0000 0.9007
S 0.3333 0.6667 0.5674
S 0.3333 0.6667 0.7660
S 0.6667 0.3333 0.2340
S 0.6667 0.3333 0.4326

Results
formation energy from raw total energies: 14 kJ per mole of atoms
raw total energy: -62.0 eV for the cell shown

# 17
VASP calculation (PBE) on an optimized crystal structure of Ti2BeInC.

a b c (Å): 4.3038 4.3038 3.7113
angles (deg): 90.00 90.00 90.00
Element x y z (fractional)
Ti 0.0000 0.5000 0.0000
Ti 0.5000 0.0000 0.0000
Be 0.0000 0.0000 0.5000
In 0.5000 0.5000 0.5000
C 0.0000 0.0000 0.0000

Results
energy of formation: -24.4 kJ/mol of atoms
raw total energy: -32.7 eV for the cell shown

# 18
VASP calculation (PBE) on an optimized crystal structure of Cs2KHg2.

a b c (Å): 8.1273 8.1273 10.0065
angles (deg): 100.62 100.62 57.62
Element x y z (fractional)
Cs 0.0206 0.2806 0.1442
Cs 0.2806 0.0206 0.6442
Cs 0.7194 0.9794 0.3558
Cs 0.9794 0.7194 0.8558
K 0.4019 0.5981 0.2500
K 0.5981 0.4019 0.7500
Hg 0.1920 0.4950 0.4917
Hg 0.4950 0.1920 0.9917
Hg 0.5050 0.8080 0.0083
Hg 0.8080 0.5050 0.5083

Results
energy of formation: -19.3 kJ/mol of atoms
raw total energy: -8.8 eV for the cell shown
energy above the lowest structure with this stoichiometry: 0 meV per atom

# 19
VASP calculation (PBE) on an optimized crystal structure of Cu3Pd4Au2.

a b c (Å): 2.7842 2.7842 20.4713
angles (deg): 90.00 90.00 120.00
Element x y z (fractional)
Cu 0.0000 0.0000 0.0000
Cu 0.0000 0.0000 0.3477
Cu 0.6667 0.3333 0.6682
Pd 0.0000 0.0000 0.5654
Pd 0.0000 0.0000 0.7717
Pd 0.6667 0.3333 0.2449
Pd 0.6667 0.3333 0.4507
Au 0.6667 0.3333 0.1091
Au 0.6667 0.3333 0.8915

Results
energy of formation: -0.1 kJ/mol of atoms
raw total energy: -39.6 eV for the cell shown
energy above the lowest structure with this stoichiometry: 94 meV per atom